(1)
! Ag2SbBr PBE optimized geometry; values from VASP
&SYSTEM
  ibrav = 0, nat = 4, ntyp = 3
/
ATOMIC_SPECIES
Ag 107.87 Ag.upf
Sb 121.76 Sb.upf
Br 79.90 Br.upf
CELL_PARAMETERS angstrom
5.5221 0.0081 0.0000
1.7430 5.2398 0.0000
-3.6326 -2.6239 3.2269
ATOMIC_POSITIONS crystal
Ag 0.5000 0.5000 0.0000
Ag 0.0000 0.0000 0.0000
Sb 0.7500 0.2500 0.5000
Br 0.2500 0.7500 0.5000
! - Crystal system: tetragonal
! - Volume: 93 Å³/cell
! - Formation energy without anion corrections: 1.22 eV/f.u.
! - Polymorph energy (0 for the lowest one): 0.357 eV/atom


(2)
! AgSbBr2 PBE optimized geometry; values from VASP
&SYSTEM
  ibrav = 0, nat = 4, ntyp = 3
/
ATOMIC_SPECIES
Br 79.90 Br.upf
Sb 121.76 Sb.upf
Ag 107.87 Ag.upf
CELL_PARAMETERS angstrom
-7.7086 -0.0354 -4.7209
-4.9204 -0.6233 -7.5572
-6.2465 -3.7242 -5.3686
ATOMIC_POSITIONS crystal
Br 0.2258 0.2258 0.2258
Br 0.0316 0.0316 0.0316
Sb 0.4871 0.4871 0.4871
Ag 0.7555 0.7555 0.7555
! - Crystal system: trigonal
! - Volume: 122 Å³/cell
! - Formation energy without anion corrections: -0.87 eV/f.u.
! - Polymorph energy (0 for the lowest one): 0.014 eV/atom


(3)
! Ag3SbBr8 PBE optimized geometry; values from VASP
&SYSTEM
  ibrav = 0, nat = 12, ntyp = 3
/
ATOMIC_SPECIES
Br 79.90 Br.upf
Ag 107.87 Ag.upf
Sb 121.76 Sb.upf
CELL_PARAMETERS angstrom
7.8686 0.0000 0.0000
-3.9343 6.6317 -3.7086
0.0000 -0.1217 7.4982
ATOMIC_POSITIONS crystal
Br 0.7439 0.4878 0.2270
Br 0.7380 0.9977 0.2565
Br 0.7404 0.0023 0.7435
Br 0.7794 0.5588 0.7715
Br 0.2561 0.5122 0.7730
Br 0.2596 0.9977 0.2565
Br 0.2620 0.0023 0.7435
Br 0.2206 0.4412 0.2285
Ag 0.5000 0.0000 0.0000
Ag 0.5000 0.5000 0.0000
Ag 0.0000 0.5000 0.0000
Sb 0.0000 0.0000 0.0000
! - Crystal system: monoclinic
! - Volume: 388 Å³/cell
! - Formation energy without anion corrections: -4.12 eV/f.u.